1.
Entry from the Alexandria database: an optimized crystal structure of BaRh3Cl (PBE-GGA).

Values from the calculation:
**Size of the total moment**: 0.00 μB per formula unit
**DFT total energy**: -4.854 eV/atom
**Formation energy from raw total energies**: 0.311 eV per atom
**Density of states at the Fermi level**: 5.22 states/eV/cell
**Excess energy over the best structure of this formula in the dataset**: 0 meV per atom
**Symmetry**: No. 221

a b c (Å): 4.6520 4.6520 4.6520
angles (deg): 90.00 90.00 90.00
Last column: nearest neighbours and their distance in Å.
Fractional coordinates of all 5 atoms:
Rh (0.0000, 0.5000, 0.0000)  2 Cl 2.33
Rh (0.0000, 0.0000, 0.5000)  2 Cl 2.33
Rh (0.5000, 0.0000, 0.0000)  2 Cl 2.33
Ba (0.5000, 0.5000, 0.5000)  12 Rh 3.29
Cl (0.0000, 0.0000, 0.0000)  6 Rh 2.33

2.
Entry from the Alexandria database: an optimized crystal structure of BaLaAgPt (PBE-GGA).

Values from the calculation:
**Calculated formation energy**: -46.4 kJ/mol of atoms
**Size of the total moment**: 0.00 μB per formula unit
**DFT total energy**: -4.416 eV/atom
**Density of states at the Fermi level**: 4.28 states/eV/cell
**Symmetry**: No. 216

a b c (Å): 5.4164 5.4164 5.4164
angles (deg): 60.00 60.00 60.00
Last column: nearest neighbours and their distance in Å.
Fractional coordinates of all 4 atoms:
Ag (0.0000, 0.0000, 0.0000)  4 La 3.32, 4 Ba 3.32
Ba (0.2500, 0.2500, 0.2500)  4 Pt 3.32, 4 Ag 3.32
Pt (0.5000, 0.5000, 0.5000)  4 Ba 3.32, 4 La 3.32
La (0.7500, 0.7500, 0.7500)  4 Pt 3.32, 4 Ag 3.32

3.
Entry from the Alexandria database: an optimized crystal structure of Mg3C (PBE-GGA).

Values from the calculation:
**Calculated formation energy**: 39.2 kJ/mol of atoms
**Size of the total moment**: 0.00 μB per formula unit
**DFT total energy**: -3.096 eV/atom
**Density of states at the Fermi level**: 2.28 states/eV/cell
**Excess energy over the best structure of this formula in the dataset**: 71 meV per atom
**Symmetry**: No. 63

a b c (Å): 6.4022 6.4022 3.3237
angles (deg): 90.00 90.00 106.55
Last column: nearest neighbours and their distance in Å.
Fractional coordinates of all 8 atoms:
Mg (0.1239, 0.8761, 0.7500)  2 C 2.29
Mg (0.8761, 0.1239, 0.2500)  2 C 2.29
Mg (0.1877, 0.4568, 0.7500)  2 C 2.33
Mg (0.8123, 0.5432, 0.2500)  2 C 2.33
Mg (0.5432, 0.8123, 0.7500)  2 C 2.33
Mg (0.4568, 0.1877, 0.2500)  2 C 2.33
C (0.2773, 0.7227, 0.2500)  6 Mg 2.29-2.33
C (0.7227, 0.2773, 0.7500)  6 Mg 2.29-2.33

4.
Entry from the Alexandria database: an optimized crystal structure of OsSBrN2 (PBE-GGA).

Values from the calculation:
**Size of the total moment**: 3.09 μB per formula unit
**DFT total energy**: -4.015 eV/atom
**Formation energy from raw total energies**: 2.721 eV per atom
**Density of states at the Fermi level**: 3.84 states/eV/cell
**Excess energy over the best structure of this formula in the dataset**: 1931 meV per atom
**Symmetry**: No. 123

a b c (Å): 3.6446 3.6446 6.8007
angles (deg): 90.00 90.00 90.00
Last column: nearest neighbours and their distance in Å.
Fractional coordinates of all 5 atoms:
S (0.0000, 0.0000, 0.5000)  4 Os 2.58
Os (0.5000, 0.5000, 0.5000)  4 S 2.58
Br (0.0000, 0.0000, 0.0000)  4 N 1.82
N (0.0000, 0.5000, 0.0000)  2 Br 1.82
N (0.5000, 0.0000, 0.0000)  2 Br 1.82

- Number 1 is which compound?
  BaRh3Cl